# PBE AlIn2BW, optimized geometry
# **M_tot**: 0.0 μB per cell
# **Formation enthalpy at 0 K**: 1601 meV/atom
# **SG**: P4/mmm (123)
# **Electronic total energy**: -4.17 eV per atom
data_AlIn2BW
_cell_length_a 5.274
_cell_length_b 5.274
_cell_length_c 4.895
_cell_angle_alpha 90.00
_cell_angle_beta 90.00
_cell_angle_gamma 90.00
_symmetry_space_group_name_H-M 'P 1'
_symmetry_Int_Tables_number 1
loop_
_symmetry_equiv_pos_as_xyz
'x,y,z'
loop_
_atom_site_label
_atom_site_type_symbol
_atom_site_fract_x
_atom_site_fract_y
_atom_site_fract_z
Al1 Al 0.000 0.000 0.000
In1 In 0.000 0.500 0.500
In2 In 0.500 0.000 0.500
B1 B 0.500 0.500 0.000
W1 W 0.000 0.000 0.500


# PBE Ho9TmTl2, optimized geometry
# **M_tot**: 0.0 μB per cell
# **Formation enthalpy at 0 K**: -107 meV/atom
# **SG**: P4/mmm (123)
# **Electronic total energy**: -4.31 eV per atom
data_Ho9TmTl2
_cell_length_a 4.848
_cell_length_b 4.848
_cell_length_c 14.863
_cell_angle_alpha 90.00
_cell_angle_beta 90.00
_cell_angle_gamma 90.00
_symmetry_space_group_name_H-M 'P 1'
_symmetry_Int_Tables_number 1
loop_
_symmetry_equiv_pos_as_xyz
'x,y,z'
loop_
_atom_site_label
_atom_site_type_symbol
_atom_site_fract_x
_atom_site_fract_y
_atom_site_fract_z
Ho1 Ho 0.000 0.000 0.000
Ho2 Ho 0.000 0.000 0.336
Ho3 Ho 0.000 0.000 0.664
Ho4 Ho 0.000 0.500 0.170
Ho5 Ho 0.000 0.500 0.500
Ho6 Ho 0.000 0.500 0.830
Ho7 Ho 0.500 0.000 0.170
Ho8 Ho 0.500 0.000 0.500
Ho9 Ho 0.500 0.000 0.830
Tm1 Tm 0.500 0.500 0.000
Tl1 Tl 0.500 0.500 0.339
Tl2 Tl 0.500 0.500 0.661


# PBE CuH3S, optimized geometry
# **Polymorph energy (0 for the lowest one)**: 0.0 meV/atom
# **M_tot**: 0.0 μB per cell
# **SG**: Pm-3m (221)
# **Electronic total energy**: -2.81 eV per atom
data_CuH3S
_cell_length_a 3.454
_cell_length_b 3.454
_cell_length_c 3.454
_cell_angle_alpha 90.00
_cell_angle_beta 90.00
_cell_angle_gamma 90.00
_symmetry_space_group_name_H-M 'P 1'
_symmetry_Int_Tables_number 1
loop_
_symmetry_equiv_pos_as_xyz
'x,y,z'
loop_
_atom_site_label
_atom_site_type_symbol
_atom_site_fract_x
_atom_site_fract_y
_atom_site_fract_z
Cu1 Cu 0.000 0.000 0.000
H1 H 0.000 0.000 0.500
H2 H 0.000 0.500 0.000
H3 H 0.500 0.000 0.000
S1 S 0.500 0.500 0.500


# PBE CuAg3Cl4, optimized geometry
# **M_tot**: 0.1 μB per cell
# **SG**: I-42m (121)
# **Electronic total energy**: -2.93 eV per atom
# **E_form (uncorrected)**: -0.42 eV per atom
data_CuAg3Cl4
_cell_length_a 7.212
_cell_length_b 7.212
_cell_length_c 7.212
_cell_angle_alpha 131.68
_cell_angle_beta 131.68
_cell_angle_gamma 70.74
_symmetry_space_group_name_H-M 'P 1'
_symmetry_Int_Tables_number 1
loop_
_symmetry_equiv_pos_as_xyz
'x,y,z'
loop_
_atom_site_label
_atom_site_type_symbol
_atom_site_fract_x
_atom_site_fract_y
_atom_site_fract_z
Cu1 Cu 0.000 0.000 0.000
Ag1 Ag 0.250 0.750 0.500
Ag2 Ag 0.500 0.500 0.000
Ag3 Ag 0.750 0.250 0.500
Cl1 Cl 0.114 0.114 0.458
Cl2 Cl 0.344 0.886 0.000
Cl3 Cl 0.656 0.656 0.542
Cl4 Cl 0.886 0.344 0.000


# PBE Zn2BAsW, optimized geometry
# **M_tot**: 2.7 μB per cell
# **Formation enthalpy at 0 K**: 1723 meV/atom
# **SG**: P4/mmm (123)
# **Electronic total energy**: -3.64 eV per atom
data_Zn2BAsW
_cell_length_a 4.750
_cell_length_b 4.750
_cell_length_c 3.994
_cell_angle_alpha 90.00
_cell_angle_beta 90.00
_cell_angle_gamma 90.00
_symmetry_space_group_name_H-M 'P 1'
_symmetry_Int_Tables_number 1
loop_
_symmetry_equiv_pos_as_xyz
'x,y,z'
loop_
_atom_site_label
_atom_site_type_symbol
_atom_site_fract_x
_atom_site_fract_y
_atom_site_fract_z
Zn1 Zn 0.000 0.500 0.000
Zn2 Zn 0.500 0.000 0.000
B1 B 0.000 0.000 0.500
As1 As 0.000 0.000 0.000
W1 W 0.500 0.500 0.500


# PBE Tb4CdAg2Pt, optimized geometry
# **M_tot**: 0.0 μB per cell
# **Formation enthalpy at 0 K**: -563 meV/atom
# **SG**: R-3m (166)
# **Electronic total energy**: -4.46 eV per atom
data_Tb4CdAg2Pt
_cell_length_a 8.906
_cell_length_b 8.906
_cell_length_c 8.906
_cell_angle_alpha 33.55
_cell_angle_beta 33.55
_cell_angle_gamma 33.55
_symmetry_space_group_name_H-M 'P 1'
_symmetry_Int_Tables_number 1
loop_
_symmetry_equiv_pos_as_xyz
'x,y,z'
loop_
_atom_site_label
_atom_site_type_symbol
_atom_site_fract_x
_atom_site_fract_y
_atom_site_fract_z
Tb1 Tb 0.117 0.117 0.117
Tb2 Tb 0.369 0.369 0.369
Tb3 Tb 0.631 0.631 0.631
Tb4 Tb 0.883 0.883 0.883
Cd1 Cd 0.500 0.500 0.500
Ag1 Ag 0.241 0.241 0.241
Ag2 Ag 0.759 0.759 0.759
Pt1 Pt 0.000 0.000 0.000


# PBE ScHgSb, optimized geometry
# **Polymorph energy (0 for the lowest one)**: 116.0 meV/atom
# **M_tot**: 0.0 μB per cell
# **SG**: Fmm2 (42)
# **Electronic total energy**: -3.90 eV per atom
# **E_form (uncorrected)**: -0.31 eV per atom
data_ScHgSb
_cell_length_a 6.143
_cell_length_b 5.937
_cell_length_c 3.687
_cell_angle_alpha 75.30
_cell_angle_beta 69.20
_cell_angle_gamma 35.50
_symmetry_space_group_name_H-M 'P 1'
_symmetry_Int_Tables_number 1
loop_
_symmetry_equiv_pos_as_xyz
'x,y,z'
loop_
_atom_site_label
_atom_site_type_symbol
_atom_site_fract_x
_atom_site_fract_y
_atom_site_fract_z
Sc1 Sc 0.000 0.000 0.000
Hg1 Hg 0.663 0.663 0.337
Sb1 Sb 0.342 0.342 0.658


# PBE Cs3CdC2O6, optimized geometry
# **M_tot**: 0.3 μB per cell
# **SG**: P-3m1 (164)
# **Electronic total energy**: -5.74 eV per atom
# **E_form (uncorrected)**: -1.44 eV per atom
data_Cs3CdC2O6
_cell_length_a 6.166
_cell_length_b 6.166
_cell_length_c 7.619
_cell_angle_alpha 90.00
_cell_angle_beta 90.00
_cell_angle_gamma 120.00
_symmetry_space_group_name_H-M 'P 1'
_symmetry_Int_Tables_number 1
loop_
_symmetry_equiv_pos_as_xyz
'x,y,z'
loop_
_atom_site_label
_atom_site_type_symbol
_atom_site_fract_x
_atom_site_fract_y
_atom_site_fract_z
Cs1 Cs 0.000 0.000 0.000
Cs2 Cs 0.333 0.667 0.706
Cs3 Cs 0.667 0.333 0.294
Cd1 Cd 0.000 0.000 0.500
C1 C 0.333 0.667 0.275
C2 C 0.667 0.333 0.725
O1 O 0.211 0.421 0.275
O2 O 0.211 0.789 0.275
O3 O 0.421 0.211 0.725
O4 O 0.579 0.789 0.275
O5 O 0.789 0.211 0.725
O6 O 0.789 0.579 0.725